Run one
Entry from Alexandria via LeMat-Bulk: a relaxed VNiH2 crystal (PBE).

Properties
Space-group type ... R-3m
Density ... 6.01 g/cm³
Size of the total moment ... 0.00 μB/atom

Cell: 2.6812 2.6812 5.1938 Å, 75.04 75.04 60.00°
Positions (direct):
Ni (0.5000, 0.5000, 0.5000)
H (0.8792, 0.8792, 0.3623)
H (0.1208, 0.1208, 0.6377)
V (0.0000, 0.0000, 0.0000)


Run two
Entry from Alexandria via LeMat-Bulk: a relaxed VNiH2 crystal (PBE).

Properties
Space-group type ... R-3m
Density ... 6.60 g/cm³
Size of the total moment ... 0.00 μB/atom

Cell: 2.6993 2.6948 4.7262 Å, 73.47 90.00 59.96°
Positions (direct):
V (0.5304, 0.6776, 0.5465)
Ni (0.0300, 0.6771, 0.0465)
H (0.2807, 0.1771, 0.7996)
H (0.7803, 0.1782, 0.2935)


Stability check: which of them is most stable? run two.


Run one
Entry from Alexandria via LeMat-Bulk: a relaxed V3NiH crystal (PBE).

Properties
Space-group type ... Pm-3m
Density ... 3.96 g/cm³
Size of the total moment ... 1.22 μB/atom

Cell: 4.4682 4.4682 4.4682 Å, 90.00 90.00 90.00°
Positions (direct):
V (0.5000, 0.0000, 0.0000)
V (0.0000, 0.0000, 0.5000)
V (0.0000, 0.5000, 0.0000)
H (0.5000, 0.5000, 0.5000)
Ni (0.0000, 0.0000, 0.0000)


Run two
Entry from Alexandria via LeMat-Bulk: a relaxed V3NiH crystal (PBE).

Properties
Space-group type ... Pm-3m
Density ... 6.60 g/cm³
Size of the total moment ... 0.00 μB/atom

Cell: 3.7682 3.7682 3.7682 Å, 90.00 90.00 90.00°
Positions (direct):
H (0.0000, 0.0000, 0.0000)
V (0.0000, 0.5000, 0.0000)
V (0.0000, 0.0000, 0.5000)
V (0.5000, 0.0000, 0.0000)
Ni (0.5000, 0.5000, 0.5000)


Stability check: which of them is most stable? run two.


Run one
Entry from Alexandria via LeMat-Bulk: a relaxed VNi2HW crystal (PBE).

Properties
Space-group type ... P4/mmm
Density ... 11.19 g/cm³
Size of the total moment ... 0.00 μB/atom

Cell: 3.6202 3.6202 3.9993 Å, 90.00 90.00 90.00°
Positions (direct):
Ni (0.0000, 0.5000, 0.0000)
Ni (0.5000, 0.0000, 0.0000)
W (0.5000, 0.5000, 0.5000)
H (0.0000, 0.0000, 0.0000)
V (0.0000, 0.0000, 0.5000)


Run two
Entry from Alexandria via LeMat-Bulk: a relaxed VNi2HW crystal (PBE).

Properties
Space-group type ... P4/mmm
Density ... 11.06 g/cm³
Size of the total moment ... 0.00 μB/atom

Cell: 3.6221 3.6221 4.0412 Å, 90.00 90.00 90.00°
Positions (direct):
V (0.5000, 0.5000, 0.5000)
H (0.0000, 0.0000, 0.0000)
Ni (0.0000, 0.5000, 0.0000)
Ni (0.5000, 0.0000, 0.0000)
W (0.0000, 0.0000, 0.5000)


Stability check: which of them is most stable? run one.


Run one
Entry from Alexandria via LeMat-Bulk: a relaxed Ni2HW crystal (PBE).

Properties
Space-group type ... I-42d
Density ... 12.12 g/cm³
Size of the total moment ... 0.00 μB/atom

Cell: 4.9599 4.9599 4.8619 Å, 59.33 59.33 90.00°
Positions (direct):
H (0.2500, 0.7500, 0.5000)
H (0.5000, 0.5000, 0.0000)
Ni (0.3750, 0.5591, 0.7500)
Ni (0.3091, 0.6250, 0.2500)
Ni (0.4409, 0.1250, 0.2500)
Ni (0.8750, 0.6909, 0.7500)
W (0.7500, 0.2500, 0.5000)
W (0.0000, 0.0000, 0.0000)


Run two
Entry from Alexandria via LeMat-Bulk: a relaxed Ni2HW crystal (PBE).

Properties
Space-group type ... R-3m
Density ... 12.39 g/cm³
Size of the total moment ... 0.00 μB/atom

Cell: 2.6947 2.6947 6.6246 Å, 78.26 78.26 60.00°
Positions (direct):
W (0.5000, 0.5000, 0.5000)
Ni (0.7218, 0.7218, 0.8346)
Ni (0.2782, 0.2782, 0.1654)
H (0.0000, 0.0000, 0.0000)


Run three
Entry from Alexandria via LeMat-Bulk: a relaxed Ni2HW crystal (PBE).

Properties
Space-group type ... Fm-3m
Density ... 10.98 g/cm³
Size of the total moment ... 0.00 μB/atom

Cell: 4.0136 4.0136 4.0136 Å, 60.00 60.00 60.00°
Positions (direct):
W (0.5000, 0.5000, 0.5000)
Ni (0.7500, 0.7500, 0.7500)
Ni (0.2500, 0.2500, 0.2500)
H (0.0000, 0.0000, 0.0000)


Stability check: which of them is most stable? run two.